# 1
! Nd3Tl2Pd3 (PBE, optimized geometry); values from VASP
! - Electronic total energy: -4.8721 eV/atom
! - DOS at the Fermi energy: 4.58 states/eV/f.u.
! - Mass density: 9.8 g/cm3
! - Crystal system: orthorhombic
&SYSTEM
  ibrav = 0, nat = 8, ntyp = 3
/
ATOMIC_SPECIES
Nd 144.24 Nd.upf
Tl 204.38 Tl.upf
Pd 106.42 Pd.upf
CELL_PARAMETERS angstrom
-1.852 2.577 10.345
1.852 -2.577 10.345
1.852 2.577 -10.345
ATOMIC_POSITIONS angstrom
Nd 0.000 0.000 0.000
Nd 1.852 0.000 7.793
Nd 0.000 2.577 2.552
Tl 0.000 0.000 4.740
Tl 0.000 0.000 15.951
Pd 1.852 0.000 2.360
Pd 0.000 0.000 10.345
Pd 0.000 2.577 7.986



# 2
! Nd5Tl4Pd (PBE, optimized geometry); values from VASP
! - Electronic total energy: -4.3151 eV/atom
! - DOS at the Fermi energy: 6.91 states/eV/f.u.
! - Mass density: 9.6 g/cm3
! - Crystal system: tetragonal
&SYSTEM
  ibrav = 0, nat = 10, ntyp = 3
/
ATOMIC_SPECIES
Nd 144.24 Nd.upf
Tl 204.38 Tl.upf
Pd 106.42 Pd.upf
CELL_PARAMETERS angstrom
3.681 0.000 0.000
0.000 3.681 0.000
0.000 0.000 21.035
ATOMIC_POSITIONS angstrom
Nd 0.000 0.000 0.000
Nd 0.000 0.000 4.379
Nd 0.000 0.000 8.756
Nd 0.000 0.000 12.279
Nd 0.000 0.000 16.656
Tl 1.840 1.840 2.187
Tl 1.840 1.840 6.553
Tl 1.840 1.840 14.482
Tl 1.840 1.840 18.848
Pd 1.840 1.840 10.517



# 3
! NdTlPd6 (PBE, optimized geometry); values from VASP
! - Electronic total energy: -5.2727 eV/atom
! - Energy above the most stable polymorph in this dataset: 0 meV per atom
! - DOS at the Fermi energy: 3.90 states/eV/f.u.
! - Mass density: 11.5 g/cm3
! - Crystal system: tetragonal
&SYSTEM
  ibrav = 0, nat = 8, ntyp = 3
/
ATOMIC_SPECIES
Nd 144.24 Nd.upf
Tl 204.38 Tl.upf
Pd 106.42 Pd.upf
CELL_PARAMETERS angstrom
5.848 0.000 0.000
0.000 5.848 0.000
0.000 0.000 4.169
ATOMIC_POSITIONS angstrom
Nd 0.000 0.000 0.000
Tl 2.924 2.924 0.000
Pd 0.000 2.924 0.000
Pd 1.495 1.495 2.084
Pd 1.495 4.354 2.084
Pd 2.924 0.000 0.000
Pd 4.354 1.495 2.084
Pd 4.354 4.354 2.084



# 4
! Nd8TlPd2 (PBE, optimized geometry); values from VASP
! - Electronic total energy: -4.9600 eV/atom
! - Energy above the most stable polymorph in this dataset: 0 meV per atom
! - DOS at the Fermi energy: 11.75 states/eV/f.u.
! - Mass density: 7.9 g/cm3
! - Crystal system: monoclinic
&SYSTEM
  ibrav = 0, nat = 11, ntyp = 3
/
ATOMIC_SPECIES
Nd 144.24 Nd.upf
Tl 204.38 Tl.upf
Pd 106.42 Pd.upf
CELL_PARAMETERS angstrom
8.867 -2.549 0.000
8.867 2.549 0.000
-3.351 0.000 7.335
ATOMIC_POSITIONS angstrom
Nd 0.000 0.000 1.916
Nd 0.668 0.000 5.796
Nd 3.872 0.000 3.848
Nd 7.088 0.000 0.265
Nd 7.295 0.000 7.071
Nd 10.511 0.000 3.487
Nd 13.715 0.000 1.540
Nd 14.383 0.000 5.419
Tl 7.191 0.000 3.668
Pd 2.892 0.000 1.106
Pd 11.490 0.000 6.230



# 5
! Nd2TlPd3 (PBE, optimized geometry); values from VASP
! - Electronic total energy: -5.1719 eV/atom
! - DOS at the Fermi energy: 3.74 states/eV/f.u.
! - Mass density: 9.7 g/cm3
! - Crystal system: orthorhombic
&SYSTEM
  ibrav = 0, nat = 12, ntyp = 3
/
ATOMIC_SPECIES
Nd 144.24 Nd.upf
Tl 204.38 Tl.upf
Pd 106.42 Pd.upf
CELL_PARAMETERS angstrom
0.000 4.809 7.968
3.628 0.000 7.968
3.628 4.809 0.000
ATOMIC_POSITIONS angstrom
Nd 5.490 4.809 7.968
Nd 1.814 2.405 3.984
Nd 5.442 7.214 11.951
Nd 1.766 4.809 7.968
Tl 3.628 4.809 5.289
Tl 3.628 4.809 10.646
Pd 3.628 4.809 2.562
Pd 3.628 2.427 6.617
Pd 3.628 2.427 9.318
Pd 3.628 7.191 6.617
Pd 3.628 7.191 9.318
Pd 3.628 4.809 13.373



# 6
! Nd2Tl8Pd (PBE, optimized geometry); values from VASP
! - Electronic total energy: -3.3155 eV/atom
! - DOS at the Fermi energy: 6.88 states/eV/f.u.
! - Mass density: 11.2 g/cm3
! - Crystal system: tetragonal
&SYSTEM
  ibrav = 0, nat = 11, ntyp = 3
/
ATOMIC_SPECIES
Nd 144.24 Nd.upf
Tl 204.38 Tl.upf
Pd 106.42 Pd.upf
CELL_PARAMETERS angstrom
4.845 0.000 0.000
0.000 4.845 0.000
0.000 0.000 12.777
ATOMIC_POSITIONS angstrom
Nd 0.000 0.000 2.481
Nd 0.000 0.000 10.296
Tl 0.000 2.423 0.000
Tl 0.000 2.423 4.807
Tl 0.000 2.423 7.970
Tl 2.423 0.000 0.000
Tl 2.423 0.000 4.807
Tl 2.423 0.000 7.970
Tl 2.423 2.423 2.381
Tl 2.423 2.423 10.395
Pd 0.000 0.000 6.388



# 7
! Nd5Tl2Pd (PBE, optimized geometry); values from VASP
! - Electronic total energy: -4.4948 eV/atom
! - Energy above the most stable polymorph in this dataset: 114 meV per atom
! - DOS at the Fermi energy: 8.45 states/eV/f.u.
! - Mass density: 8.8 g/cm3
! - Crystal system: tetragonal
&SYSTEM
  ibrav = 0, nat = 8, ntyp = 3
/
ATOMIC_SPECIES
Nd 144.24 Nd.upf
Tl 204.38 Tl.upf
Pd 106.42 Pd.upf
CELL_PARAMETERS angstrom
-3.598 3.598 4.518
3.598 -3.598 4.518
3.598 3.598 -4.518
ATOMIC_POSITIONS angstrom
Nd 0.000 0.000 0.000
Nd 1.818 1.818 -2.140
Nd 1.780 -1.780 2.378
Nd -1.780 1.780 2.378
Nd 1.780 1.780 2.378
Tl 3.598 0.000 0.120
Tl 0.000 3.598 0.120
Pd 0.000 0.000 5.270



# 8
! NdTl2Pd (PBE, optimized geometry); values from VASP
! - Electronic total energy: -4.0046 eV/atom
! - DOS at the Fermi energy: 2.64 states/eV/f.u.
! - Mass density: 11.0 g/cm3
! - Crystal system: tetragonal
&SYSTEM
  ibrav = 0, nat = 4, ntyp = 3
/
ATOMIC_SPECIES
Nd 144.24 Nd.upf
Tl 204.38 Tl.upf
Pd 106.42 Pd.upf
CELL_PARAMETERS angstrom
4.484 0.000 0.000
0.000 4.484 0.000
0.000 0.000 4.956
ATOMIC_POSITIONS angstrom
Nd 0.000 0.000 0.000
Tl 0.000 2.242 2.478
Tl 2.242 0.000 2.478
Pd 2.242 2.242 0.000



# 9
! Nd8Tl2Pd (PBE, optimized geometry); values from VASP
! - Electronic total energy: -4.6232 eV/atom
! - DOS at the Fermi energy: 11.91 states/eV/f.u.
! - Mass density: 8.0 g/cm3
! - Crystal system: monoclinic
&SYSTEM
  ibrav = 0, nat = 11, ntyp = 3
/
ATOMIC_SPECIES
Nd 144.24 Nd.upf
Tl 204.38 Tl.upf
Pd 106.42 Pd.upf
CELL_PARAMETERS angstrom
9.746 -2.605 0.000
9.746 2.605 0.000
-1.639 0.000 6.817
ATOMIC_POSITIONS angstrom
Nd -0.142 0.000 1.879
Nd 2.735 0.000 5.568
Nd 5.995 0.000 3.481
Nd 7.922 0.000 0.234
Nd 9.930 0.000 6.583
Nd 11.857 0.000 3.337
Nd 15.117 0.000 1.249
Nd 17.994 0.000 4.938
Tl 3.155 0.000 1.749
Tl 14.697 0.000 5.069
Pd 8.926 0.000 3.409



# 10
! Nd4Tl3Pd (PBE, optimized geometry); values from VASP
! - Electronic total energy: -4.3929 eV/atom
! - Energy above the most stable polymorph in this dataset: 0 meV per atom
! - DOS at the Fermi energy: 6.79 states/eV/f.u.
! - Mass density: 9.5 g/cm3
! - Crystal system: tetragonal
&SYSTEM
  ibrav = 0, nat = 8, ntyp = 3
/
ATOMIC_SPECIES
Nd 144.24 Nd.upf
Tl 204.38 Tl.upf
Pd 106.42 Pd.upf
CELL_PARAMETERS angstrom
3.702 0.000 0.000
0.000 3.702 0.000
0.000 0.000 16.484
ATOMIC_POSITIONS angstrom
Nd 0.000 0.000 1.750
Nd 0.000 0.000 6.070
Nd 0.000 0.000 10.414
Nd 0.000 0.000 14.734
Tl 1.851 1.851 3.933
Tl 1.851 1.851 8.242
Tl 1.851 1.851 12.551
Pd 1.851 1.851 0.000



# 11
! NdTl2Pd9 (PBE, optimized geometry); values from VASP
! - Electronic total energy: -5.0693 eV/atom
! - DOS at the Fermi energy: 10.47 states/eV/f.u.
! - Mass density: 11.9 g/cm3
! - Crystal system: tetragonal
&SYSTEM
  ibrav = 0, nat = 12, ntyp = 3
/
ATOMIC_SPECIES
Nd 144.24 Nd.upf
Tl 204.38 Tl.upf
Pd 106.42 Pd.upf
CELL_PARAMETERS angstrom
4.134 0.000 0.000
0.000 4.134 0.000
0.000 0.000 12.349
ATOMIC_POSITIONS angstrom
Nd 0.000 0.000 0.000
Tl 0.000 0.000 4.187
Tl 0.000 0.000 8.162
Pd 0.000 2.067 2.145
Pd 0.000 2.067 6.174
Pd 0.000 2.067 10.204
Pd 2.067 0.000 2.145
Pd 2.067 0.000 6.174
Pd 2.067 0.000 10.204
Pd 2.067 2.067 0.000
Pd 2.067 2.067 4.132
Pd 2.067 2.067 8.217



# 12
! Nd12Tl6Pd (PBE, optimized geometry); values from VASP
! - Electronic total energy: -4.2311 eV/atom
! - DOS at the Fermi energy: 22.40 states/eV/f.u.
! - Mass density: 8.2 g/cm3
! - Crystal system: trigonal
&SYSTEM
  ibrav = 0, nat = 19, ntyp = 3
/
ATOMIC_SPECIES
Nd 144.24 Nd.upf
Tl 204.38 Tl.upf
Pd 106.42 Pd.upf
CELL_PARAMETERS angstrom
6.218 3.590 4.619
-6.218 3.590 4.619
0.000 -7.180 4.619
ATOMIC_POSITIONS angstrom
Nd -5.523 -1.486 7.765
Nd -1.475 -5.526 6.091
Nd -1.438 -1.642 5.036
Nd -4.048 4.041 6.091
Nd -0.703 2.067 5.036
Nd -2.141 0.424 8.820
Nd 2.141 -0.424 5.036
Nd 0.703 -2.067 8.820
Nd 4.048 -4.041 7.765
Nd 1.438 1.642 8.820
Nd 1.475 5.526 7.765
Nd 5.523 1.486 6.091
Tl -3.721 0.758 6.001
Tl -2.517 -2.844 7.856
Tl 1.205 -3.602 6.001
Tl -1.205 3.602 7.856
Tl 2.517 2.844 6.001
Tl 3.721 -0.758 7.856
Pd 0.000 0.000 6.928